# 1
A relaxed structure of La4Sn2Ru. Source: the Alexandria database, functional GGA-PBE.

Output
* energy above the most stable polymorph in this dataset: 0.0 meV per atom
* total energy: -0.2164 hartree per atom
* crystal system: monoclinic
* E_form: -0.6044 eV/atom

Lattice parameters (Å, degrees): 11.7922 4.8183 8.9112 90.00 121.56 90.00
With the nearest neighbours (Å) after each atom.
Space group C2/m (No. 12)
Unique sites:
La: 0.0677 0.0000 0.3470 x4  1 Ru 2.76
La: 0.1703 0.5000 0.0555 x4  2 Ru 3.01, 2 Sn 3.35
Sn: 0.1473 0.5000 0.6578 x4  1 Sn 3.12, 8 La 3.35-3.48
Ru: 0.0000 0.0000 0.0000 x2  6 La 2.76-3.01

=====

# 2
A relaxed structure of Pr5CdAg2. Source: the Alexandria database, functional GGA-PBE.

Output
* total energy: -0.1462 hartree per atom
* crystal system: tetragonal
* E_form: -0.1635 eV/atom

Lattice parameters (Å, degrees): 8.5554 8.5554 13.1964 90.00 90.00 90.00
With the nearest neighbours (Å) after each atom.
Space group I4/mcm (No. 140)
Unique sites:
Pr: 0.0000 0.0000 0.0000 x4  2 Cd 3.30, 4 Ag 3.35
Pr: 0.1565 0.3435 0.1485 x16  3 Ag 3.15-3.24, 2 Cd 3.50, 1 Pr 3.51
Cd: 0.0000 0.0000 0.2500 x4  10 Pr 3.30-3.50
Ag: 0.1306 0.3694 0.5000 x8  8 Pr 3.15-3.35, 1 Ag 3.16

=====

# 3
A relaxed structure of Nd2YErTh. Source: the Alexandria database, functional GGA-PBE.

Output
* total energy: -0.1942 hartree per atom
* crystal system: monoclinic
* E_form: 0.3127 eV/atom

Lattice parameters (Å, degrees): 8.5618 6.3719 6.4051 90.00 93.13 90.00
With the nearest neighbours (Å) after each atom.
Space group P2/c (No. 13)
Unique sites:
Nd: 0.1888 0.2068 0.2673 x4  1 Th 3.14, 1 Nd 3.23, 1 Er 3.45
Y: 0.5000 0.5000 0.0000 x2  2 Y 3.20, 2 Th 3.28, 2 Nd 3.52
Er: 0.0000 0.3140 0.7500 x2  8 Nd 3.45-3.69
Th: 0.5000 0.0506 0.7500 x2  2 Nd 3.14, 2 Th 3.27, 2 Y 3.28

=====

# 4
A relaxed structure of Ce2DyBi. Source: the Alexandria database, functional GGA-PBE.

Output
* energy above the most stable polymorph in this dataset: 525.8 meV per atom
* total energy: -0.1832 hartree per atom
* crystal system: trigonal
* E_form: 0.1033 eV/atom

Lattice parameters (Å, degrees): 3.4429 3.4429 37.0982 90.00 90.00 120.00
With the nearest neighbours (Å) after each atom.
Space group R-3m (No. 166, hexagonal axes)
Unique sites:
Ce: 0.0000 0.0000 0.0879 x6  1 Bi 3.26, 6 Ce 3.44, 3 Dy 3.53
Dy: 0.0000 0.0000 0.5000 x3  6 Dy 3.44, 6 Ce 3.53
Bi: 0.0000 0.0000 0.0000 x3  2 Ce 3.26, 6 Bi 3.44